(1)
Below is RbNa2Cl3 after structural relaxation, with properties calculated at the PBE level.

Summary:
Fermi-level density of states ... 0.0 states/eV/f.u.
Symmetry ... Cmcm, No. 63
E_form (uncorrected) ... -167.3 kJ/mol of atoms

Unit cell a=7.240 b=7.300 c=7.300 alpha=66.04 beta=90.00 gamma=90.00
Fractional coordinates of all 12 atoms:
Rb1 0.250 0.416 0.584
Rb2 0.750 0.584 0.416
Na1 0.000 0.172 0.172
Na2 0.500 0.172 0.172
Na3 0.000 0.828 0.828
Na4 0.500 0.828 0.828
Cl1 0.750 0.967 0.033
Cl2 0.750 0.125 0.479
Cl3 0.250 0.479 0.125
Cl4 0.750 0.521 0.875
Cl5 0.250 0.875 0.521
Cl6 0.250 0.033 0.967



(2)
Below is Mn2ReTc2 after structural relaxation, with properties calculated at the PBE level.

Summary:
Energy relative to the elements ... 0.16 eV per atom
Fermi-level density of states ... 5.4 states/eV/f.u.
Symmetry ... P4/mbm, No. 127

Unit cell a=6.867 b=6.867 c=2.817 alpha=90.00 beta=90.00 gamma=90.00
Fractional coordinates of all 10 atoms:
Re1 0.000 0.000 0.000
Re2 0.500 0.500 0.000
Mn1 0.371 0.871 0.000
Mn2 0.871 0.629 0.000
Mn3 0.629 0.129 0.000
Mn4 0.129 0.371 0.000
Tc1 0.169 0.669 0.500
Tc2 0.669 0.831 0.500
Tc3 0.831 0.331 0.500
Tc4 0.331 0.169 0.500



(3)
Below is MnPRu2 after structural relaxation, with properties calculated at the PBE level.

Summary:
Energy relative to the elements ... -0.13 eV per atom
Fermi-level density of states ... 3.4 states/eV/f.u.
Symmetry ... P2/m, No. 10

Unit cell a=3.687 b=2.880 c=5.280 alpha=75.81 beta=90.00 gamma=90.00
Fractional coordinates of all 4 atoms:
Mn1 0.500 0.500 0.000
P1 0.500 0.500 0.500
Ru1 0.000 0.141 0.734
Ru2 0.000 0.859 0.266



(4)
Below is NaDy4ThSe8 after structural relaxation, with properties calculated at the PBE level.

Summary:
Fermi-level density of states ... 4.2 states/eV/f.u.
Symmetry ... R3m, No. 160
E_form (uncorrected) ... -164.0 kJ/mol of atoms

Unit cell a=8.442 b=8.442 c=8.537 alpha=60.37 beta=60.37 gamma=60.00
Fractional coordinates of all 14 atoms:
Na1 0.372 0.372 0.885
Dy1 0.628 0.628 0.115
Dy2 0.005 0.487 0.503
Dy3 0.487 0.005 0.503
Dy4 0.005 0.005 0.503
Th1 0.003 0.003 0.990
Se1 0.243 0.777 0.737
Se2 0.777 0.243 0.737
Se3 0.243 0.243 0.737
Se4 0.239 0.239 0.282
Se5 0.754 0.229 0.263
Se6 0.229 0.754 0.263
Se7 0.754 0.754 0.263
Se8 0.760 0.760 0.721



(5)
Below is KMnC3 after structural relaxation, with properties calculated at the PBE level.

Summary:
Energy relative to the elements ... 4.69 eV per atom
Fermi-level density of states ... 8.6 states/eV/f.u.
Symmetry ... Pm-3m, No. 221

Unit cell a=4.184 b=4.184 c=4.184 alpha=90.00 beta=90.00 gamma=90.00
Fractional coordinates of all 5 atoms:
K1 0.000 0.000 0.000
Mn1 0.500 0.500 0.500
C1 0.000 0.500 0.000
C2 0.000 0.000 0.500
C3 0.500 0.000 0.000



(6)
Below is LaTb3Pm7 after structural relaxation, with properties calculated at the PBE level.

Summary:
Energy relative to the elements ... 0.19 eV per atom
Fermi-level density of states ... 17.4 states/eV/f.u.
Symmetry ... P3m1, No. 156

Unit cell a=8.720 b=7.223 c=7.223 alpha=120.00 beta=90.00 gamma=90.00
Fractional coordinates of all 11 atoms:
La1 0.443 0.333 0.667
Tb1 0.784 0.500 0.500
Tb2 0.784 0.500 0.001
Tb3 0.784 0.999 0.500
Pm1 0.111 0.167 0.833
Pm2 0.111 0.167 0.334
Pm3 0.123 0.667 0.333
Pm4 0.455 0.833 0.167
Pm5 0.455 0.335 0.167
Pm6 0.455 0.833 0.665
Pm7 0.111 0.666 0.833



(7)
Below is KRb2CdPb after structural relaxation, with properties calculated at the PBE level.

Summary:
Energy relative to the elements ... 0.07 eV per atom
Fermi-level density of states ... 3.9 states/eV/f.u.
Symmetry ... P4/mmm, No. 123

Unit cell a=7.378 b=7.378 c=5.684 alpha=90.00 beta=90.00 gamma=90.00
Fractional coordinates of all 5 atoms:
Pb1 0.000 0.000 0.000
K1 0.500 0.500 0.500
Rb1 0.000 0.500 0.000
Rb2 0.500 0.000 0.000
Cd1 0.000 0.000 0.500



(8)
Below is Ta2AgIr after structural relaxation, with properties calculated at the PBE level.

Summary:
Energy relative to the elements ... 0.08 eV per atom
Fermi-level density of states ... 4.3 states/eV/f.u.
Symmetry ... I-4m2, No. 119

Unit cell a=5.126 b=5.126 c=5.126 alpha=134.35 beta=134.35 gamma=66.54
Fractional coordinates of all 4 atoms:
Ir1 0.750 0.250 0.500
Ag1 0.500 0.500 0.000
Ta1 0.000 0.000 0.000
Ta2 0.250 0.750 0.500



(9)
Below is ScCr2Sb after structural relaxation, with properties calculated at the PBE level.

Summary:
Fermi-level density of states ... 2.6 states/eV/f.u.
Symmetry ... P4/mmm, No. 123
E_form (uncorrected) ... 17.6 kJ/mol of atoms

Unit cell a=3.332 b=3.332 c=6.154 alpha=90.00 beta=90.00 gamma=90.02
Fractional coordinates of all 4 atoms:
Cr1 0.000 0.000 0.017
Cr2 0.000 0.000 0.483
Sb1 0.500 0.500 0.250
Sc1 0.500 0.500 0.750



(10)
Below is ZrBeSbTe2 after structural relaxation, with properties calculated at the PBE level.

Summary:
Fermi-level density of states ... 4.7 states/eV/f.u.
Symmetry ... P4/mmm, No. 123
E_form (uncorrected) ... 34.6 kJ/mol of atoms

Unit cell a=5.046 b=5.046 c=4.772 alpha=90.00 beta=90.00 gamma=90.00
Fractional coordinates of all 5 atoms:
Sb1 0.000 0.000 0.500
Te1 0.000 0.500 0.000
Te2 0.500 0.000 0.000
Zr1 0.500 0.500 0.500
Be1 0.000 0.000 0.000



(11)
Below is YZnSi2 after structural relaxation, with properties calculated at the PBE level.

Summary:
Fermi-level density of states ... 2.6 states/eV/f.u.
Symmetry ... R-3m, No. 166
E_form (uncorrected) ... 15.1 kJ/mol of atoms

Unit cell a=8.426 b=8.426 c=8.426 alpha=23.02 beta=23.02 gamma=23.02
Fractional coordinates of all 4 atoms:
Si1 0.011 0.011 0.011
Si2 0.489 0.489 0.489
Y1 0.250 0.250 0.250
Zn1 0.750 0.750 0.750



(12)
Below is KSn3Au after structural relaxation, with properties calculated at the PBE level.

Summary:
Energy relative to the elements ... -0.19 eV per atom
Fermi-level density of states ... 2.5 states/eV/f.u.
Symmetry ... Pmn2_1, No. 31

Unit cell a=6.566 b=6.470 c=6.741 alpha=90.00 beta=90.01 gamma=90.00
Fractional coordinates of all 10 atoms:
K1 0.460 0.393 0.701
K2 0.960 0.960 0.201
Sn1 0.340 0.294 0.201
Sn2 0.466 0.894 0.954
Sn3 0.966 0.459 0.454
Sn4 0.840 0.059 0.701
Sn5 0.966 0.459 0.947
Sn6 0.466 0.893 0.447
Au1 0.145 0.770 0.701
Au2 0.645 0.583 0.201



(13)
Below is Ba2NiTeS after structural relaxation, with properties calculated at the PBE level.

Summary:
Fermi-level density of states ... 1.4 states/eV/f.u.
Symmetry ... P4/mmm, No. 123
E_form (uncorrected) ... -116.8 kJ/mol of atoms

Unit cell a=6.160 b=6.160 c=4.224 alpha=90.00 beta=90.00 gamma=90.00
Fractional coordinates of all 5 atoms:
Ni1 0.000 0.000 0.500
S1 0.000 0.000 0.000
Te1 0.500 0.500 0.500
Ba1 0.000 0.500 0.000
Ba2 0.500 0.000 0.000



(14)
Below is Ba2CaW after structural relaxation, with properties calculated at the PBE level.

Summary:
Energy relative to the elements ... 1.09 eV per atom
Fermi-level density of states ... 5.5 states/eV/f.u.
Symmetry ... I-4m2, No. 119

Unit cell a=5.882 b=5.882 c=5.882 alpha=119.89 beta=119.89 gamma=90.19
Fractional coordinates of all 4 atoms:
Ca1 0.500 0.500 0.000
Ba1 0.000 0.000 0.000
Ba2 0.250 0.750 0.500
W1 0.750 0.250 0.500



(15)
Below is Rb2ZnAg3 after structural relaxation, with properties calculated at the PBE level.

Summary:
Energy relative to the elements ... 0.08 eV per atom
Fermi-level density of states ... 2.8 states/eV/f.u.
Symmetry ... Pmma, No. 51

Unit cell a=5.905 b=6.880 c=8.997 alpha=90.00 beta=90.00 gamma=90.00
Fractional coordinates of all 12 atoms:
Rb1 0.250 0.500 0.148
Rb2 0.250 0.000 0.381
Rb3 0.750 0.000 0.619
Rb4 0.750 0.500 0.852
Zn1 0.750 0.500 0.409
Zn2 0.250 0.500 0.591
Ag1 0.000 0.000 0.000
Ag2 0.500 0.000 0.000
Ag3 0.750 0.208 0.221
Ag4 0.750 0.792 0.221
Ag5 0.250 0.208 0.779
Ag6 0.250 0.792 0.779



(16)
Below is LiTm3U3S8 after structural relaxation, with properties calculated at the PBE level.

Summary:
Fermi-level density of states ... 15.8 states/eV/f.u.
Symmetry ... R-3m, No. 166
E_form (uncorrected) ... -159.6 kJ/mol of atoms

Unit cell a=7.627 b=7.627 c=7.755 alpha=119.46 beta=90.00 gamma=120.00
Fractional coordinates of all 15 atoms:
Li1 0.000 0.000 0.500
Tm1 0.500 0.000 0.500
Tm2 0.500 0.500 0.500
Tm3 0.000 0.500 0.500
U1 0.000 0.000 0.000
U2 0.000 0.500 0.000
U3 0.500 0.500 0.000
S1 0.253 0.505 0.258
S2 0.747 0.495 0.742
S3 0.754 0.508 0.257
S4 0.246 0.492 0.743
S5 0.754 0.003 0.257
S6 0.246 0.997 0.743
S7 0.249 0.003 0.257
S8 0.751 0.997 0.743



(17)
Below is Ba2Tl3Ag4Sn after structural relaxation, with properties calculated at the PBE level.

Summary:
Energy relative to the elements ... -0.22 eV per atom
Fermi-level density of states ... 6.1 states/eV/f.u.
Symmetry ... P-4m2, No. 115

Unit cell a=5.006 b=5.006 c=11.510 alpha=90.00 beta=90.00 gamma=90.00
Fractional coordinates of all 10 atoms:
Ba1 0.500 0.000 0.249
Ba2 0.000 0.500 0.751
Tl1 0.000 0.000 0.500
Tl2 0.500 0.000 0.877
Tl3 0.000 0.500 0.123
Ag1 0.500 0.500 0.000
Ag2 0.000 0.000 0.000
Ag3 0.500 0.000 0.629
Ag4 0.000 0.500 0.371
Sn1 0.500 0.500 0.500



(18)
Below is Tm6InGa2 after structural relaxation, with properties calculated at the PBE level.

Summary:
Energy relative to the elements ... -0.43 eV per atom
Fermi-level density of states ... 5.2 states/eV/f.u.
Symmetry ... Immm, No. 71

Unit cell a=8.517 b=8.517 c=8.517 alpha=104.21 beta=112.26 gamma=112.07
Fractional coordinates of all 18 atoms:
Tm1 0.538 0.722 0.816
Tm2 0.462 0.278 0.184
Tm3 0.093 0.278 0.816
Tm4 0.907 0.722 0.184
Tm5 0.798 0.759 0.556
Tm6 0.202 0.241 0.444
Tm7 0.202 0.759 0.961
Tm8 0.798 0.241 0.039
Tm9 0.703 0.383 0.680
Tm10 0.297 0.617 0.320
Tm11 0.297 0.976 0.680
Tm12 0.703 0.024 0.320
In1 0.000 0.500 0.500
In2 0.000 0.000 0.000
Ga1 0.500 0.379 0.879
Ga2 0.500 0.621 0.121
Ga3 0.649 0.000 0.649
Ga4 0.351 0.000 0.351



(19)
Below is MgSc2Re after structural relaxation, with properties calculated at the PBE level.

Summary:
Energy relative to the elements ... 0.16 eV per atom
Fermi-level density of states ... 4.0 states/eV/f.u.
Symmetry ... Pmm2, No. 25

Unit cell a=2.879 b=4.566 c=5.912 alpha=90.00 beta=90.00 gamma=90.00
Fractional coordinates of all 4 atoms:
Mg1 0.000 0.000 0.509
Re1 0.500 0.500 0.766
Sc1 0.000 0.000 0.973
Sc2 0.500 0.500 0.252



(20)
Below is Zn2Tc2Ru after structural relaxation, with properties calculated at the PBE level.

Summary:
Energy relative to the elements ... 0.44 eV per atom
Fermi-level density of states ... 5.5 states/eV/f.u.
Symmetry ... P4/mbm, No. 127

Unit cell a=6.739 b=6.739 c=3.159 alpha=90.00 beta=90.00 gamma=90.00
Fractional coordinates of all 10 atoms:
Ru1 0.000 0.000 0.000
Ru2 0.500 0.500 0.000
Zn1 0.369 0.869 0.000
Zn2 0.869 0.631 0.000
Zn3 0.631 0.131 0.000
Zn4 0.131 0.369 0.000
Tc1 0.169 0.669 0.500
Tc2 0.669 0.831 0.500
Tc3 0.831 0.331 0.500
Tc4 0.331 0.169 0.500